# 1
# CoCu5Ni4

A relaxed CoCu5Ni4 crystal (PBE-GGA, Alexandria via LeMat-Bulk).

abc: 12.9236 3.5611 5.0639
angles: 90.00 102.53 90.00
With the nearest neighbours (Å) after each atom.
Space group C2/m (No. 12)
Inequivalent atoms, fractional coordinates:
Co1 0.0000 0.0000 0.0000 x2  6 Ni 2.47-2.49, 6 Cu 2.53-2.56
Cu1 0.0000 0.0000 0.5000 x2  6 Cu 2.50-2.54, 2 Co 2.53, 4 Ni 2.56
Cu2 0.1011 0.5000 0.7954 x4  6 Ni 2.49-2.57, 4 Cu 2.50-2.53, 2 Co 2.56
Cu3 0.2015 0.0000 0.5986 x4  5 Cu 2.51-2.54, 7 Ni 2.53-2.56
Ni1 0.0981 0.5000 0.2868 x4  2 Co 2.47, 8 Cu 2.50-2.57, 2 Ni 2.51
Ni2 0.1976 0.0000 0.0950 x4  7 Cu 2.49-2.54, 1 Co 2.49, 4 Ni 2.51-2.55

Results
* crystal system: monoclinic
* magnetization: 6.85 μB/cell
* energy relative to the elements: 0.056 eV per atom
* total energy: -5.02 eV/atom

---

# 2
# K2Li3RhF12

A relaxed K2Li3RhF12 crystal (PBE-GGA, Alexandria via LeMat-Bulk).

abc: 6.9376 6.9376 19.6962
angles: 90.00 90.00 120.00
With the nearest neighbours (Å) after each atom.
Space group R-3m (No. 166, hexagonal axes)
Inequivalent atoms, fractional coordinates:
K1 0.0000 0.0000 0.0948 x6  3 F 2.70
Li1 0.0000 0.5000 0.0000 x9  4 F 1.93
Rh1 0.0000 0.0000 0.5000 x3  6 F 1.91
F1 0.0582 0.5291 0.3609 x18  2 Li 1.93
F2 0.0706 0.5353 0.1124 x18  1 Rh 1.91

Results
* crystal system: trigonal
* magnetization: 12.00 μB/cell
* total energy: -4.12 eV/atom
* formation energy from raw total energies: -2.018 eV per atom

---

# 3
# Ba8As3Br4Cl

A relaxed Ba8As3Br4Cl crystal (PBE-GGA, Alexandria via LeMat-Bulk).

abc: 9.4975 9.4975 23.5208
angles: 90.00 90.00 120.00
With the nearest neighbours (Å) after each atom.
Space group R-3m (No. 166, hexagonal axes)
Inequivalent atoms, fractional coordinates:
Ba1 0.0000 0.0000 0.2414 x6  3 As 3.26, 3 Br 3.49
Ba2 0.0106 0.5053 0.7582 x18  2 As 3.23, 1 Cl 3.33, 3 Br 3.42-3.52
As1 0.0000 0.5000 0.5000 x9  6 Ba 3.23-3.26
Br1 0.0000 0.0000 0.0000 x3  6 Ba 3.42
Br2 0.0000 0.5000 0.0000 x9  6 Ba 3.49-3.52
Cl1 0.0000 0.0000 0.5000 x3  6 Ba 3.33

Results
* crystal system: trigonal
* magnetization: 0.00 μB/cell
* total energy: -4.00 eV/atom
* formation energy from raw total energies: -1.637 eV per atom

---

# 4
# BeTe2Mo

A relaxed BeTe2Mo crystal (PBE-GGA, Alexandria via LeMat-Bulk).

abc: 3.4578 3.4094 6.6407
angles: 90.00 101.50 90.00
With the nearest neighbours (Å) after each atom.
Space group P2/m (No. 10)
Inequivalent atoms, fractional coordinates:
Be1 0.0000 0.0000 0.0000 x1  4 Te 2.57
Te1 0.3892 0.5000 0.2501 x2  2 Be 2.57
Mo1 0.0000 0.0000 0.5000 x1  8 Te 2.89-2.95

Results
* crystal system: monoclinic
* magnetization: 0.00 μB/cell
* total energy: -4.77 eV/atom
* formation energy from raw total energies: 0.437 eV per atom

---

# 5
# Sr2AlPbO5

A relaxed Sr2AlPbO5 crystal (PBE-GGA, Alexandria via LeMat-Bulk).

abc: 3.3553 16.5969 9.9197
angles: 90.00 90.00 90.00
With the nearest neighbours (Å) after each atom.
Space group Cmc2_1 (No. 36)
Inequivalent atoms, fractional coordinates:
Sr1 0.0000 0.1003 0.0000 x4  7 O 2.54-2.74
Sr2 0.0000 0.1103 0.6224 x4  6 O 2.48-2.63
Al1 0.0000 0.4508 0.7675 x4  4 O 1.77-1.85
Pb1 0.0000 0.2234 0.3324 x4  5 O 2.25-2.44
O1 0.0000 0.0341 0.3423 x4  2 Al 1.85
O2 0.0000 0.2966 0.9904 x4  2 Pb 2.32
O3 0.0000 0.3482 0.7001 x4  1 Al 1.83
O4 0.0000 0.3585 0.3198 x4  1 Pb 2.25
O5 0.0000 0.4994 0.1092 x4  1 Al 1.77

Results
* crystal system: orthorhombic
* magnetization: 2.88 μB/cell
* total energy: -6.23 eV/atom
* formation energy from raw total energies: -2.277 eV per atom

---

# 6
# CaAcAs2

A relaxed CaAcAs2 crystal (PBE-GGA, Alexandria via LeMat-Bulk).

abc: 7.5537 7.5537 7.5537
angles: 90.00 90.00 90.00
With the nearest neighbours (Å) after each atom.
Space group Fm-3m (No. 225)
Inequivalent atoms, fractional coordinates:
Ca1 0.0000 0.0000 0.0000 x4  8 As 3.27
Ac1 0.0000 0.0000 0.5000 x4  8 As 3.27
As1 0.2500 0.2500 0.2500 x8  4 Ac 3.27, 4 Ca 3.27

Results
* crystal system: cubic
* magnetization: 0.00 μB/cell
* offset from the most stable computed form: 0.1220 eV per atom
* energy relative to the elements: -1.010 eV per atom
* total energy: -4.86 eV/atom